1.
Here is CaTl4Se after structural relaxation from Alexandria. Energies are from PBE.

Cell: 6.3811 6.3811 6.3811 Å, 60.00 60.00 60.00°
Closest atoms and distances in Å follow each position.
Sites, in units of the cell vectors:
Ca 0.7500 0.7500 0.7500  12 Tl 3.74, 4 Se 3.91
Tl 0.8760 0.3747 0.3747  6 Tl 3.18-3.20
Tl 0.3747 0.3747 0.8760  6 Tl 3.18-3.20
Tl 0.3747 0.8760 0.3747  6 Tl 3.18-3.20
Tl 0.3747 0.3747 0.3747  6 Tl 3.18-3.20
Se 0.0000 0.0000 0.0000  12 Tl 3.74, 4 Ca 3.91

Properties
DOS(E_F) (states/eV/atom): 0.78
Crystal system: cubic



2.
Here is Ca3UTl3Se8 after structural relaxation from Alexandria. Energies are from PBE.

Cell: 8.5075 8.5072 8.9687 Å, 118.33 90.00 120.00°
Closest atoms and distances in Å follow each position.
Sites, in units of the cell vectors:
Ca 0.5000 0.0000 0.5000  6 Se 2.93-2.99
Ca 0.5000 0.5000 0.5000  6 Se 2.93-2.99
Ca 0.0000 0.5000 0.5000  6 Se 2.93-2.99
U 0.0000 0.0000 0.5000  6 Se 2.72
Tl 0.0000 0.0000 0.0000  6 Se 3.23-3.26
Tl 0.0000 0.5000 0.0000  6 Se 3.23-3.26
Tl 0.5000 0.5000 0.0000  6 Se 3.23-3.26
Se 0.2621 0.5242 0.2864  3 Ca 2.93, 3 Tl 3.26
Se 0.7379 0.4758 0.7136  3 Ca 2.93, 3 Tl 3.26
Se 0.7793 0.5586 0.2948  1 U 2.72, 2 Ca 2.99
Se 0.2207 0.4414 0.7052  1 U 2.72, 2 Ca 2.99
Se 0.7793 0.0154 0.2948  1 U 2.72, 2 Ca 2.99
Se 0.2207 0.9846 0.7052  1 U 2.72, 2 Ca 2.99
Se 0.2361 0.0154 0.2948  1 U 2.72, 2 Ca 2.99
Se 0.7639 0.9846 0.7052  1 U 2.72, 2 Ca 2.99

Properties
DOS(E_F) (states/eV/atom): 0.46
Crystal system: trigonal



3.
Here is CaU3Tl3Se8 after structural relaxation from Alexandria. Energies are from PBE.

Cell: 8.3668 8.3664 9.1552 Å, 117.20 90.00 120.00°
Closest atoms and distances in Å follow each position.
Sites, in units of the cell vectors:
Ca 0.0000 0.0000 0.5000  6 Se 2.96
U 0.5000 0.0000 0.5000  6 Se 2.85-2.90
U 0.5000 0.5000 0.5000  6 Se 2.85-2.90
U 0.0000 0.5000 0.5000  6 Se 2.85-2.90
Tl 0.0000 0.0000 0.0000  6 Se 3.33-3.38
Tl 0.0000 0.5000 0.0000  6 Se 3.33-3.38
Tl 0.5000 0.5000 0.0000  6 Se 3.33-3.38
Se 0.2648 0.5296 0.2946  3 U 2.90
Se 0.7352 0.4704 0.7054  3 U 2.90
Se 0.7592 0.5183 0.2968  2 U 2.85, 1 Ca 2.96
Se 0.2408 0.4817 0.7032  2 U 2.85, 1 Ca 2.96
Se 0.7592 0.0375 0.2969  2 U 2.85, 1 Ca 2.96
Se 0.2408 0.9625 0.7031  2 U 2.85, 1 Ca 2.96
Se 0.2783 0.0375 0.2969  2 U 2.85, 1 Ca 2.96
Se 0.7217 0.9625 0.7031  2 U 2.85, 1 Ca 2.96

Properties
DOS(E_F) (states/eV/atom): 0.91
Crystal system: trigonal



4.
Here is Ca2UTl2Se6 after structural relaxation from Alexandria. Energies are from PBE.

Cell: 7.2326 7.2326 8.0658 Å, 98.90 98.90 119.42°
Closest atoms and distances in Å follow each position.
Sites, in units of the cell vectors:
Ca 0.3330 0.6670 0.5000  6 Se 2.96-2.99
Ca 0.6670 0.3330 0.5000  6 Se 2.96-2.99
U 0.0000 0.0000 0.5000  6 Se 2.71-2.72
Tl 0.8299 0.1701 0.0000  6 Se 3.25-3.42
Tl 0.1701 0.8299 0.0000  6 Se 3.25-3.42
Se 0.7666 0.7666 0.7065  1 U 2.72, 2 Ca 2.99
Se 0.0688 0.3751 0.7037  1 U 2.71, 2 Ca 2.96-2.98
Se 0.2334 0.2334 0.2935  1 U 2.72, 2 Ca 2.99
Se 0.3751 0.0688 0.7037  1 U 2.71, 2 Ca 2.96-2.98
Se 0.9312 0.6249 0.2963  1 U 2.71, 2 Ca 2.96-2.98
Se 0.6249 0.9312 0.2963  1 U 2.71, 2 Ca 2.96-2.98

Properties
Crystal system: monoclinic



5.
Here is CaY2Tl3Se6 after structural relaxation from Alexandria. Energies are from PBE.

Cell: 7.3466 7.3466 7.8799 Å, 98.92 98.92 120.01°
Closest atoms and distances in Å follow each position.
Sites, in units of the cell vectors:
Ca 0.0000 0.0000 0.0000  6 Se 2.97-2.98
Y 0.3327 0.6673 0.0000  6 Se 2.88-2.89
Y 0.6673 0.3327 0.0000  6 Se 2.88-2.89
Tl 0.1650 0.8350 0.5000  6 Se 3.22-3.29
Tl 0.8350 0.1650 0.5000  6 Se 3.22-3.29
Tl 0.5000 0.5000 0.5000  6 Se 3.22-3.29
Se 0.9292 0.5860 0.7880  2 Y 2.88-2.89, 1 Ca 2.98, 1 Tl 3.22
Se 0.7264 0.7264 0.2090  2 Y 2.88, 1 Ca 2.97, 1 Tl 3.22
Se 0.0708 0.4140 0.2120  2 Y 2.88-2.89, 1 Ca 2.98, 1 Tl 3.22
Se 0.5860 0.9292 0.7880  2 Y 2.88-2.89, 1 Ca 2.98, 1 Tl 3.22
Se 0.2736 0.2736 0.7910  2 Y 2.88, 1 Ca 2.97, 1 Tl 3.22
Se 0.4140 0.0708 0.2120  2 Y 2.88-2.89, 1 Ca 2.98, 1 Tl 3.22

Properties
DOS(E_F) (states/eV/atom): 0.46
Crystal system: monoclinic



6.
Here is Ca2TlZnSe after structural relaxation from Alexandria. Energies are from PBE.

Cell: 5.5259 4.9892 5.5259 Å, 90.00 90.00 90.00°
Closest atoms and distances in Å follow each position.
Sites, in units of the cell vectors:
Tl 0.5000 0.5000 0.5000  8 Ca 3.72, 4 Zn 3.91
Ca 0.0000 0.0000 0.5000  2 Se 2.76
Ca 0.5000 0.0000 0.0000  2 Se 2.76
Zn 0.0000 0.5000 0.0000  2 Se 2.49
Se 0.0000 0.0000 0.0000  2 Zn 2.49, 4 Ca 2.76

Properties
DOS(E_F) (states/eV/atom): 0.76
Crystal system: tetragonal



no.,E (eV/atom),formation energy from raw total energies (kJ per mole of atoms),spin magnetization (μB/cell)
1,-2.56,-6,0.00
2,-4.64,-112,0.00
3,-5.78,-102,7.00
4,-4.93,-117,0.00
5,-4.86,-124,0.00
6,-2.69,-45,0.00